The following is a DFT calculation (GGA-PBE) of MnIn2 after structural relaxation.

Unit cell a=5.5401 b=5.5401 c=5.5401 alpha=106.13 beta=106.13 gamma=116.38
Sites, in units of the cell vectors:
Mn: 0.2500 0.2500 0.0000
Mn: 0.7500 0.7500 0.0000
In: 0.2476 0.7476 0.9953
In: 0.2524 0.2476 0.5000
In: 0.7476 0.7524 0.5000
In: 0.7524 0.2524 0.0047

The formation enthalpy at 0 K is 0.13 eV per atom. Its total energy is -14.3 eV per formula unit. The value obtained for the total magnetization is 2.3 μB per formula unit. The calculated density comes out at 7.3 g/cm3.



The following is a DFT calculation (GGA-PBE) of Cd5Hg6Bi after structural relaxation.

Unit cell a=7.1446 b=7.1446 c=6.1196 alpha=99.12 beta=99.12 gamma=95.29
Sites, in units of the cell vectors:
Cd: 0.0000 0.0000 0.0000
Cd: 0.1792 0.8208 0.5000
Cd: 0.3472 0.6528 0.0000
Cd: 0.6528 0.3472 0.0000
Cd: 0.8208 0.1792 0.5000
Hg: 0.0632 0.4119 0.2371
Hg: 0.2321 0.2321 0.7418
Hg: 0.4119 0.0632 0.2371
Hg: 0.5881 0.9368 0.7629
Hg: 0.7679 0.7679 0.2582
Hg: 0.9368 0.5881 0.7629
Bi: 0.5000 0.5000 0.5000

The formation enthalpy at 0 K is 0.03 eV per atom. Its total energy is -10.0 eV per formula unit. The value obtained for the total magnetization is 0.0 μB per formula unit. The calculated density comes out at 10.8 g/cm3.



The following is a DFT calculation (GGA-PBE) of Pr6Sm2In after structural relaxation.

Unit cell a=11.6232 b=11.6232 c=6.4184 alpha=105.99 beta=105.99 gamma=47.77
Sites, in units of the cell vectors:
Pr: 0.0060 0.1489 0.2181
Pr: 0.0828 0.5821 0.0827
Pr: 0.1489 0.0060 0.7181
Pr: 0.3500 0.4950 0.5651
Pr: 0.4179 0.9172 0.4173
Pr: 0.4950 0.3500 0.0651
Pr: 0.5050 0.6500 0.9349
Pr: 0.5821 0.0828 0.5827
Pr: 0.6500 0.5050 0.4349
Pr: 0.8511 0.9940 0.2819
Pr: 0.9172 0.4179 0.9173
Pr: 0.9940 0.8511 0.7819
Sm: 0.1716 0.3280 0.5707
Sm: 0.3280 0.1716 0.0707
Sm: 0.6720 0.8284 0.9293
Sm: 0.8284 0.6720 0.4293
In: 0.2506 0.7494 0.2500
In: 0.7494 0.2506 0.7500

The formation enthalpy at 0 K is -0.05 eV per atom. Its total energy is -41.3 eV per formula unit. The energy above the most stable polymorph in this dataset comes out at 0.019 eV/atom. The value obtained for the total magnetization is 0.0 μB per formula unit. The calculated density comes out at 6.8 g/cm3.



The following is a DFT calculation (GGA-PBE) of RbHfIn after structural relaxation.

Unit cell a=5.6353 b=5.6353 c=3.2415 alpha=90.00 beta=90.00 gamma=120.00
Sites, in units of the cell vectors:
Rb: 0.0000 0.0000 0.0000
Hf: 0.6667 0.3333 0.5000
In: 0.3333 0.6667 0.5000

The formation enthalpy at 0 K is 0.77 eV per atom. Its total energy is -11.4 eV per formula unit. The energy above the most stable polymorph in this dataset comes out at 0.709 eV/atom. The value obtained for the total magnetization is 0.0 μB per formula unit. The calculated density comes out at 7.1 g/cm3.



The following is a DFT calculation (GGA-PBE) of Mg after structural relaxation.

Unit cell a=3.1832 b=3.1910 c=10.6146 alpha=98.40 beta=90.07 gamma=119.79
Sites, in units of the cell vectors:
Mg: 0.1267 0.2512 0.3753
Mg: 0.2909 0.5830 0.8743
Mg: 0.7091 0.4170 0.1257
Mg: 0.8733 0.7488 0.6247

The formation enthalpy at 0 K is 0.00 eV per atom. Its total energy is -1.6 eV per formula unit. The energy above the most stable polymorph in this dataset comes out at 0.003 eV/atom. The value obtained for the total magnetization is 0.0 μB per formula unit. The calculated density comes out at 1.8 g/cm3.



The following is a DFT calculation (GGA-PBE) of MgSi2Ni3 after structural relaxation.

Unit cell a=5.3826 b=5.3826 c=5.3826 alpha=50.85 beta=50.85 gamma=50.85
Sites, in units of the cell vectors:
Mg: 0.0000 0.0000 0.0000
Si: 0.4157 0.4157 0.4157
Si: 0.5843 0.5843 0.5843
Ni: 0.0000 0.0000 0.5000
Ni: 0.0000 0.5000 0.0000
Ni: 0.5000 0.0000 0.0000

Its total energy is -29.6 eV per formula unit. For the raw formation energy, the calculation gives 0.028 eV/atom. The value obtained for the total magnetization is 0.0 μB per formula unit. The calculated density comes out at 4.9 g/cm3.



The following is a DFT calculation (GGA-PBE) of AcNdGdHo after structural relaxation.

Unit cell a=5.8836 b=5.8836 c=5.8836 alpha=60.00 beta=60.00 gamma=60.00
Sites, in units of the cell vectors:
Ac: 0.0000 0.0000 0.0000
Nd: 0.7500 0.7500 0.7500
Gd: 0.2500 0.2500 0.2500
Ho: 0.5000 0.5000 0.5000

The formation enthalpy at 0 K is 0.14 eV per atom. Its total energy is -27.0 eV per formula unit. The value obtained for the total magnetization is 8.9 μB per formula unit. The calculated density comes out at 8.0 g/cm3.



The following is a DFT calculation (GGA-PBE) of CsGaSe2 after structural relaxation.

Unit cell a=7.8657 b=6.2384 c=7.8710 alpha=90.00 beta=90.32 gamma=90.00
Sites, in units of the cell vectors:
Cs: 0.0000 0.0000 0.0000
Cs: 0.5001 0.5000 0.4986
Ga: 0.0005 0.2505 0.5002
Ga: 0.0005 0.7495 0.5002
Se: 0.0870 0.5000 0.7245
Se: 0.2246 0.0000 0.4155
Se: 0.7764 0.0000 0.5847
Se: 0.9148 0.5000 0.2757

Its total energy is -14.7 eV per formula unit. For the raw formation energy, the calculation gives -0.975 eV/atom. The value obtained for the total magnetization is 0.0 μB per formula unit. The calculated density comes out at 3.1 g/cm3.



> Look up the calculated density of the sixth one.

4.9 g/cm3



What did the second record say?
The following is a DFT calculation (GGA-PBE) of Cd5Hg6Bi after structural relaxation.

Unit cell a=7.1446 b=7.1446 c=6.1196 alpha=99.12 beta=99.12 gamma=95.29
Sites, in units of the cell vectors:
Cd: 0.0000 0.0000 0.0000
Cd: 0.1792 0.8208 0.5000
Cd: 0.3472 0.6528 0.0000
Cd: 0.6528 0.3472 0.0000
Cd: 0.8208 0.1792 0.5000
Hg: 0.0632 0.4119 0.2371
Hg: 0.2321 0.2321 0.7418
Hg: 0.4119 0.0632 0.2371
Hg: 0.5881 0.9368 0.7629
Hg: 0.7679 0.7679 0.2582
Hg: 0.9368 0.5881 0.7629
Bi: 0.5000 0.5000 0.5000

The formation enthalpy at 0 K is 0.03 eV per atom. Its total energy is -10.0 eV per formula unit. The value obtained for the total magnetization is 0.0 μB per formula unit. The calculated density comes out at 10.8 g/cm3.



> Among the records above, which one has the highest total magnetization?

AcNdGdHo